Record 1
## Ba2Sr3Bi3 (PBE)

Data for crystalline Ba2Sr3Bi3 at its relaxed geometry.

Its crystal system is hexagonal. The calculation puts the density of states at the Fermi level at 0.172 states/eV per atom. The space-group type is P6_3/mcm. The magnetic moment comes out at 0.091 μB per atom. The energy is -55.001 eV per cell. For the formation energy, the calculation gives -871 meV per atom.

Cell lengths 7.869, 9.978, 9.978 Å; angles 60.00, 90.00, 90.00 degrees
Positions (direct):
Ba (0.500, 0.333, 0.333)
Ba (0.000, 0.333, 0.333)
Ba (0.000, 0.667, 0.667)
Ba (0.500, 0.667, 0.667)
Bi (0.750, 0.000, 0.614)
Bi (0.250, 0.386, 0.614)
Bi (0.750, 0.386, 0.000)
Bi (0.750, 0.614, 0.386)
Bi (0.250, 0.614, 0.000)
Bi (0.250, 0.000, 0.386)
Sr (0.250, 0.253, 0.000)
Sr (0.750, 0.253, 0.747)
Sr (0.250, 0.747, 0.253)
Sr (0.750, 0.000, 0.253)
Sr (0.250, 0.000, 0.747)
Sr (0.750, 0.747, 0.000)

Record 2
## PrSm2Tm3Bi6 (PBE)

Data for crystalline PrSm2Tm3Bi6 at its relaxed geometry.

Its crystal system is monoclinic. The calculation puts the density of states at the Fermi level at 0.167 states/eV per atom. The space-group type is C2/m. The magnetic moment comes out at 0.000 μB per atom. The energy is -61.188 eV per cell. For the formation energy, the calculation gives -856 meV per atom.

Cell lengths 4.513, 9.016, 10.078 Å; angles 102.76, 102.94, 90.00 degrees
Positions (direct):
Tm (0.500, 0.500, 0.000)
Tm (0.166, 0.833, 0.332)
Tm (0.834, 0.167, 0.668)
Sm (0.167, 0.333, 0.334)
Sm (0.833, 0.667, 0.666)
Pr (0.500, 0.000, 0.000)
Bi (0.330, 0.921, 0.660)
Bi (0.670, 0.079, 0.340)
Bi (0.665, 0.588, 0.329)
Bi (0.335, 0.412, 0.671)
Bi (0.998, 0.259, 0.997)
Bi (0.002, 0.741, 0.003)

Record 3
## RbAg2HgCl8 (PBE)

Data for crystalline RbAg2HgCl8 at its relaxed geometry.

Its crystal system is tetragonal. The calculation puts the density of states at the Fermi level at 0.610 states/eV per atom. The space-group type is I-4. The magnetic moment comes out at 0.000 μB per atom. The value obtained for the uncorrected formation energy is -0.5613 eV/atom. The energy is -28.481 eV per cell.

Cell lengths 7.115, 7.115, 8.595 Å; angles 114.45, 114.45, 90.00 degrees
Positions (direct):
Rb (0.750, 0.250, 0.500)
Cl (0.934, 0.824, 0.506)
Cl (0.703, 0.807, 0.016)
Cl (0.193, 0.687, 0.984)
Cl (0.176, 0.428, 0.494)
Cl (0.791, 0.297, 0.984)
Cl (0.313, 0.209, 0.016)
Cl (0.572, 0.682, 0.506)
Cl (0.318, 0.066, 0.494)
Ag (0.250, 0.750, 0.500)
Ag (0.500, 0.500, 0.000)
Hg (0.000, 0.000, 0.000)

Record 4
## Sr2Al2Si3 (PBE)

Data for crystalline Sr2Al2Si3 at its relaxed geometry.

Its crystal system is monoclinic. The calculation puts the density of states at the Fermi level at 0.401 states/eV per atom. The space-group type is C2/m. The magnetic moment comes out at 0.000 μB per atom. The value obtained for the uncorrected formation energy is -0.3104 eV/atom. The energy is -58.581 eV per cell.

Cell lengths 4.175, 8.615, 10.174 Å; angles 79.99, 78.16, 75.98 degrees
Positions (direct):
Al (0.582, 0.477, 0.359)
Al (0.966, 0.763, 0.305)
Al (0.418, 0.523, 0.641)
Al (0.034, 0.237, 0.695)
Si (0.936, 0.014, 0.115)
Si (0.395, 0.758, 0.451)
Si (0.851, 0.511, 0.786)
Si (0.064, 0.986, 0.885)
Si (0.605, 0.242, 0.549)
Si (0.149, 0.489, 0.214)
Sr (0.268, 0.126, 0.338)
Sr (0.382, 0.277, 0.958)
Sr (0.732, 0.874, 0.662)
Sr (0.618, 0.723, 0.042)

Record 5
## NaPrEuTl (PBE)

Data for crystalline NaPrEuTl at its relaxed geometry.

Its crystal system is cubic. The calculation puts the density of states at the Fermi level at 2.856 states/eV per atom. The space-group type is F-43m. The magnetic moment comes out at 1.852 μB per atom. The energy is -19.227 eV per cell. For the formation energy, the calculation gives -122 meV per atom.

Cell lengths 5.660, 5.660, 5.660 Å; angles 60.00, 60.00, 60.00 degrees
Last column: magnetic moment on the atom in μB.
Positions (direct):
Na (0.000, 0.000, 0.000)  -0.01
Tl (0.500, 0.500, 0.500)  0.02
Eu (0.750, 0.750, 0.750)  -6.91
Pr (0.250, 0.250, 0.250)  -0.08

Record 6
## MnTcPPdCl (PBE)

Data for crystalline MnTcPPdCl at its relaxed geometry.

Its crystal system is triclinic. The calculation puts the density of states at the Fermi level at 0.618 states/eV per atom. The space-group type is P1. The magnetic moment comes out at 0.000 μB per atom. As for the energy above the most stable polymorph in this dataset: 109 meV/atom. The value obtained for the uncorrected formation energy is -0.1123 eV/atom. The energy is -32.547 eV per cell.

Cell lengths 3.017, 3.431, 8.507 Å; angles 78.61, 83.58, 72.79 degrees
Positions (direct):
Mn (0.383, 0.969, 0.197)
Tc (0.969, 0.430, 0.348)
P (0.052, 0.659, 0.051)
Cl (0.436, 0.320, 0.581)
Pd (0.421, 0.144, 0.879)